(1)
This record from Alexandria describes crystalline LaYP2 at its relaxed geometry. The functional is PBE.

Calculated values
The total moment is 0.0000 μB per atom. The calculation puts the energy of formation at -0.2822 eV per atom.

Cell: 4.936 4.936 4.936 Å, 60.00 60.00 60.00°
Fractional positions:
Y 0.750 0.750 0.750
La 0.500 0.500 0.500
P 0.250 0.250 0.250
P 0.000 0.000 0.000

---

(2)
This record from Alexandria describes crystalline LaY2P at its relaxed geometry. The functional is PBE.

Calculated values
The total moment is 0.0001 μB per atom. The calculation puts the energy of formation at -0.6236 eV per atom.

Cell: 6.629 6.629 6.629 Å, 147.73 132.51 58.59°
Fractional positions:
La 0.000 0.500 0.500
Y 0.313 0.313 0.000
Y 0.687 0.687 0.000
P 0.500 0.000 0.500

---

(3)
This record from Alexandria describes crystalline LaY4P5 at its relaxed geometry. The functional is PBE.

Calculated values
The total moment is 0.0000 μB per atom. The calculation puts the energy of formation at -1.6012 eV per atom.

Cell: 4.066 5.760 10.766 Å, 105.52 100.88 90.00°
Fractional positions:
P 0.000 0.500 0.000
Y 0.602 0.602 0.203
P 0.800 0.300 0.601
Y 0.398 0.398 0.797
P 0.200 0.700 0.399
P 0.605 0.105 0.210
La 0.000 0.000 0.000
Y 0.202 0.202 0.405
Y 0.798 0.798 0.595
P 0.395 0.895 0.790